Record 1
{
  "formula": "ThNpI2",
  "functional": "GGA-PBE",
  "state": "optimized geometry",
  "total_energy_ev_per_atom": -6.05,
  "spacegroup": "R-3m",
  "cell": [[3.742, 0.000, 0.000], [-1.871, 3.240, 0.000], [0.000, 0.000, 33.816]],
  "species": ["Th", "Th", "Th", "Np", "Np", "Np", "I", "I", "I", "I", "I", "I"],
  "fractional_positions": [[0.000, 0.000, 0.000], [0.333, 0.667, 0.667], [0.667, 0.333, 0.333], [0.000, 0.000, 0.500], [0.333, 0.667, 0.167], [0.667, 0.333, 0.833], [0.000, 0.000, 0.404], [0.000, 0.000, 0.596], [0.333, 0.667, 0.071], [0.333, 0.667, 0.262], [0.667, 0.333, 0.738], [0.667, 0.333, 0.929]]
}

Record 2
{
  "formula": "Ca2TlSn",
  "functional": "GGA-PBE",
  "state": "optimized geometry",
  "spacegroup": "Immm",
  "formation_energy_mev_per_atom": 117.0,
  "cell": [[3.597, 0.000, 0.000], [0.000, 6.371, 0.000], [0.000, 0.000, 12.728]],
  "species": ["Ca", "Ca", "Ca", "Ca", "Tl", "Tl", "Sn", "Sn"],
  "fractional_positions": [[0.000, 0.000, 0.248], [0.000, 0.000, 0.752], [0.500, 0.500, 0.252], [0.500, 0.500, 0.748], [0.000, 0.000, 0.500], [0.500, 0.500, 0.000], [0.000, 0.000, 0.000], [0.500, 0.500, 0.500]]
}

Record 3
{
  "formula": "Pr2EuPb",
  "functional": "GGA-PBE",
  "state": "optimized geometry",
  "de_polymorph_mev_per_atom": 320,
  "spacegroup": "R-3m",
  "formation_energy_mev_per_atom": -0.3,
  "cell": [[3.626, 0.000, 0.000], [-1.813, 3.140, 0.000], [0.000, 0.000, 37.284]],
  "species": ["Pr", "Pr", "Pr", "Pr", "Pr", "Pr", "Eu", "Eu", "Eu", "Pb", "Pb", "Pb"],
  "fractional_positions": [[0.000, 0.000, 0.093], [0.000, 0.000, 0.907], [0.333, 0.667, 0.574], [0.333, 0.667, 0.760], [0.667, 0.333, 0.240], [0.667, 0.333, 0.426], [0.000, 0.000, 0.000], [0.333, 0.667, 0.667], [0.667, 0.333, 0.333], [0.000, 0.000, 0.500], [0.333, 0.667, 0.167], [0.667, 0.333, 0.833]]
}

Record 4
{
  "formula": "CeTi2Cd",
  "functional": "GGA-PBE",
  "state": "optimized geometry",
  "spacegroup": "P4/mmm",
  "formation_energy_mev_per_atom": 169.5,
  "cell": [[3.398, 0.000, 0.000], [0.000, 3.398, 0.000], [0.000, 0.000, 6.900]],
  "species": ["Ce", "Ti", "Ti", "Cd"],
  "fractional_positions": [[0.000, 0.000, 0.000], [0.500, 0.500, 0.245], [0.500, 0.500, 0.755], [0.000, 0.000, 0.500]]
}

Record 5
{
  "formula": "KMgMo2",
  "functional": "GGA-PBE",
  "state": "optimized geometry",
  "spacegroup": "P4/mmm",
  "formation_energy_mev_per_atom": 1355.7,
  "cell": [[3.906, 0.000, 0.000], [0.000, 3.906, 0.000], [0.000, 0.000, 5.310]],
  "species": ["K", "Mg", "Mo", "Mo"],
  "fractional_positions": [[0.000, 0.000, 0.000], [0.500, 0.500, 0.000], [0.000, 0.500, 0.500], [0.500, 0.000, 0.500]]
}

Record 6
{
  "formula": "GaGe",
  "functional": "GGA-PBE",
  "state": "optimized geometry",
  "de_polymorph_mev_per_atom": 148,
  "spacegroup": "Pm-3n",
  "formation_energy_mev_per_atom": 295.9,
  "cell": [[7.141, 0.000, 0.000], [0.000, 7.141, 0.000], [0.000, 0.000, 7.141]],
  "species": ["Ga", "Ga", "Ga", "Ga", "Ga", "Ga", "Ge", "Ge", "Ge", "Ge", "Ge", "Ge"],
  "fractional_positions": [[0.000, 0.250, 0.500], [0.000, 0.750, 0.500], [0.250, 0.500, 0.000], [0.500, 0.000, 0.250], [0.500, 0.000, 0.750], [0.750, 0.500, 0.000], [0.000, 0.500, 0.250], [0.000, 0.500, 0.750], [0.250, 0.000, 0.500], [0.500, 0.250, 0.000], [0.500, 0.750, 0.000], [0.750, 0.000, 0.500]]
}

Record 7
{
  "formula": "Bi2Ru2O7",
  "functional": "GGA-PBE",
  "state": "optimized geometry",
  "total_energy_ev_per_atom": -6.66,
  "spacegroup": "Fd-3m",
  "cell": [[0.000, 5.196, 5.196], [5.196, 0.000, 5.196], [5.196, 5.196, 0.000]],
  "species": ["Bi", "Bi", "Bi", "Bi", "Ru", "Ru", "Ru", "Ru", "O", "O", "O", "O", "O", "O", "O", "O", "O", "O", "O", "O", "O", "O"],
  "fractional_positions": [[0.000, 0.000, 0.000], [0.000, 0.000, 0.500], [0.000, 0.500, 0.000], [0.500, 0.000, 0.000], [0.000, 0.500, 0.500], [0.500, 0.000, 0.500], [0.500, 0.500, 0.000], [0.500, 0.500, 0.500], [0.125, 0.125, 0.125], [0.171, 0.171, 0.579], [0.171, 0.579, 0.171], [0.171, 0.579, 0.579], [0.421, 0.421, 0.829], [0.421, 0.829, 0.421], [0.421, 0.829, 0.829], [0.579, 0.171, 0.171], [0.579, 0.171, 0.579], [0.579, 0.579, 0.171], [0.829, 0.421, 0.421], [0.829, 0.421, 0.829], [0.829, 0.829, 0.421], [0.875, 0.875, 0.875]]
}

Record 8
{
  "formula": "CsCaH2SeF",
  "functional": "GGA-PBE",
  "state": "optimized geometry",
  "de_polymorph_mev_per_atom": 209,
  "spacegroup": "P1",
  "cell": [[4.344, 0.000, 0.000], [-0.508, 5.884, 0.000], [-0.080, -0.099, 6.196]],
  "species": ["Cs", "Ca", "H", "H", "Se", "F"],
  "fractional_positions": [[0.000, 0.000, 0.000], [0.525, 0.354, 0.556], [0.019, 0.316, 0.475], [0.176, 0.769, 0.477], [0.511, 0.848, 0.477], [0.535, 0.316, 0.895]]
}

Record 9
{
  "formula": "Ca2PuScN4",
  "functional": "GGA-PBE",
  "state": "optimized geometry",
  "total_energy_ev_per_atom": -8.55,
  "spacegroup": "P2/m",
  "cell": [[5.766, 0.000, 0.000], [0.000, 3.432, 0.000], [-1.814, 0.000, 5.626]],
  "species": ["Ca", "Ca", "Pu", "Sc", "N", "N", "N", "N"],
  "fractional_positions": [[0.000, 0.000, 0.000], [0.500, 0.500, 0.000], [0.000, 0.500, 0.500], [0.500, 0.000, 0.500], [0.242, 0.000, 0.717], [0.248, 0.500, 0.290], [0.752, 0.500, 0.710], [0.758, 0.000, 0.283]]
}

Record 10
{
  "formula": "Na4P2Pd3",
  "functional": "GGA-PBE",
  "state": "optimized geometry",
  "spacegroup": "C2/m",
  "formation_energy_mev_per_atom": -357.3,
  "cell": [[8.305, -1.677, 0.000], [8.305, 1.677, 0.000], [-2.266, 0.000, 6.945]],
  "species": ["Na", "Na", "Na", "Na", "P", "P", "Pd", "Pd", "Pd"],
  "fractional_positions": [[0.068, 0.068, 0.366], [0.257, 0.257, 0.791], [0.743, 0.743, 0.209], [0.932, 0.932, 0.634], [0.105, 0.105, 0.970], [0.895, 0.895, 0.030], [0.401, 0.401, 0.256], [0.500, 0.500, 0.000], [0.599, 0.599, 0.744]]
}

Record 11
{
  "formula": "Rb2Ta2Sb",
  "functional": "GGA-PBE",
  "state": "optimized geometry",
  "total_energy_ev_per_atom": -3.26,
  "spacegroup": "P4/mmm",
  "cell": [[5.212, 0.000, 0.000], [0.000, 5.212, 0.000], [0.000, 0.000, 5.693]],
  "species": ["Rb", "Rb", "Ta", "Ta", "Sb"],
  "fractional_positions": [[0.000, 0.000, 0.000], [0.000, 0.000, 0.500], [0.000, 0.500, 0.000], [0.500, 0.000, 0.000], [0.500, 0.500, 0.500]]
}

Record 12
{
  "formula": "BOsS2",
  "functional": "GGA-PBE",
  "state": "optimized geometry",
  "total_energy_ev_per_atom": -6.11,
  "spacegroup": "R-3m",
  "cell": [[2.942, 0.000, 0.000], [-1.471, 2.548, 0.000], [0.000, 0.000, 20.686]],
  "species": ["B", "B", "B", "Os", "Os", "Os", "S", "S", "S", "S", "S", "S"],
  "fractional_positions": [[0.000, 0.000, 0.000], [0.333, 0.667, 0.667], [0.667, 0.333, 0.333], [0.000, 0.000, 0.500], [0.333, 0.667, 0.167], [0.667, 0.333, 0.833], [0.000, 0.000, 0.392], [0.000, 0.000, 0.608], [0.333, 0.667, 0.058], [0.333, 0.667, 0.275], [0.667, 0.333, 0.725], [0.667, 0.333, 0.942]]
}

Here are the calculated calculated volume numbers, same order: 410; 292; 425; 80; 81; 364; 281; 158; 111; 193; 155; 155 (Å³ per cell).